[1]
BeCu2AsO6 | PBE-GGA | optimized geometry

Values from the calculation:
space-group type	P1
energy relative to the elements, uncorrected	-1.0588	eV/atom

Lattice parameters (Å, degrees): 4.948 4.868 5.407 64.74 68.19 59.51
Each line ends with the local moment (μB).
Fractional coordinates of all 10 atoms:
Be 0.730 0.752 0.750  0.00
Cu 0.542 0.522 0.422  -0.32
Cu 0.008 0.016 0.966  0.66
As 0.327 0.334 0.011  -0.01
O 0.607 0.241 0.209  0.09
O 0.276 0.947 0.196  0.07
O 0.984 0.596 0.202  0.13
O 0.428 0.712 0.742  0.02
O 0.691 0.104 0.748  0.03
O 0.067 0.438 0.768  0.08

---

[2]
Be2CuAsPd | PBE-GGA | optimized geometry

Values from the calculation:
space-group type	P4/mmm
E_form	0.61	eV per atom

Lattice parameters (Å, degrees): 4.045 4.681 4.045 90.00 90.00 90.00
Fractional coordinates of all 5 atoms:
Be 0.000 0.000 0.500
Be 0.500 0.000 0.000
As 0.500 0.500 0.500
Cu 0.000 0.000 0.000
Pd 0.000 0.500 0.000